Computed, not measured: a geometry-optimized Cd2TeAs structure at the PBEsol level of DFT.

a = 3.0485 Å, b = 3.0485 Å, c = 9.9249 Å
α = 90.00°, β = 90.00°, γ = 90.00°
Last column: nearest neighbours and their distance in Å.
Space group P4mm (No. 99)
Symmetry-distinct sites (fractional):
Cd 0.0000 0.0000 0.0000 [1 per cell]  4 As 2.97, 8 Cd 3.05-3.12
Cd 0.5000 0.5000 0.2270 [1 per cell]  8 Cd 3.05-3.12
Te 0.0000 0.0000 0.4994 [1 per cell]  4 Te 3.05
As 0.5000 0.5000 0.7945 [1 per cell]  4 Cd 2.97, 4 As 3.05

Raw formation energy   0.850 eV per formula unit
Electronic total energy   -2.544 eV per atom
Offset from the most stable computed form   200 meV/atom
Spin magnetization   0.00 μB per cell